Crystalline TaCo2Pd at its relaxed geometry. Source: Alexandria, functional PBE.

Cell: 3.597 3.842 3.842 Å, 90.00 90.00 90.00°
Each line ends with the local moment (μB).
Positions (direct):
Pd 0.500 0.500 0.500  0.05
Ta 0.500 0.000 0.000  -0.19
Co 0.000 0.500 0.000  0.54
Co 0.000 0.000 0.500  0.54

- Formation energy: -0.25 eV per atom
- Density of states at the Fermi level: 2.1 states/eV/cell
- SG: P4/mmm
- Crystal system: tetragonal
- Relative energy among the computed polymorphs: 0.0 meV/atom
- Total magnetic moment: 0.83 μB/cell